The following is a GGA-PBE calculation of a relaxed structure of Sr2TcPt, from Alexandria via LeMat-Bulk.

Its distance to the lowest polymorph of the same formula is 0.28 eV per formula unit. Its total energy is -4.946 eV/atom. The density of states at the Fermi level comes out at 4.330 states/eV/f.u. The calculation puts the formation enthalpy at 0 K at -3.4 meV per atom.

The space group is Amm2 (No. 38) and the conventional cell measures 4.495, 4.807 and 10.819 Å, with angles of 90.00, 90.00 and 90.00 degrees. The asymmetric unit holds Sr at (0.000, 0.000, 0.000), Sr at (0.500, 0.000, 0.291), Tc at (0.000, 0.000, 0.687) and Pt at (0.500, 0.000, 0.599).


The following is a GGA-PBE calculation of a relaxed structure of Ca2NdSb3Rh4, from Alexandria via LeMat-Bulk.

For the uncorrected formation energy, the calculation gives -731 meV/atom. Its total energy is -5.785 eV/atom. The density of states at the Fermi level comes out at 6.258 states/eV/f.u.

The space group is P-4m2 (No. 115) and the conventional cell measures 4.434, 4.434 and 11.491 Å, with angles of 90.00, 90.00 and 90.00 degrees. The asymmetric unit holds Ca at (0.000, 0.500, 0.227), Nd at (0.000, 0.000, 0.500), Sb at (0.000, 0.500, 0.872), Sb at (0.500, 0.500, 0.500), Rh at (0.000, 0.000, 0.000), Rh at (0.000, 0.500, 0.650) and Rh at (0.500, 0.500, 0.000).


The following is a GGA-PBE calculation of a relaxed structure of ZnCdBi2, from Alexandria via LeMat-Bulk.

Its distance to the lowest polymorph of the same formula is 0.19 eV per formula unit. Its total energy is -2.315 eV/atom. The density of states at the Fermi level comes out at 2.524 states/eV/f.u. The calculation puts the formation enthalpy at 0 K at 173.2 meV per atom.

The space group is P4/mmm (No. 123) and the conventional cell measures 4.960, 4.960 and 4.291 Å, with angles of 90.00, 90.00 and 90.00 degrees. The asymmetric unit holds Zn at (0.000, 0.000, 0.000), Cd at (0.500, 0.500, 0.000) and Bi at (0.000, 0.500, 0.500).


Number 1: total magnetization 0.14 μB per atom. Number 2: total magnetization 0.00 μB per atom. Number 3: total magnetization 0.00 μB per atom.